Material: Ti3MnCr2P6O24
Method: DFT, PBEsol
State: optimized geometry

The structure in POSCAR format:
```
Ti3MnCr2P6O24
1.0
4.412 2.547 6.354
-4.412 2.547 6.354
0.000 -5.094 6.354
Ti Mn Cr P O
3 1 2 6 24
Direct
0.000 0.000 0.000
0.127 0.127 0.127
0.423 0.423 0.423
0.850 0.850 0.850
0.295 0.295 0.295
0.640 0.640 0.640
0.029 0.670 0.624
0.214 0.550 0.890
0.550 0.890 0.214
0.624 0.029 0.670
0.670 0.624 0.029
0.890 0.214 0.550
0.046 0.246 0.361
0.046 0.914 0.229
0.063 0.722 0.961
0.102 0.498 0.803
0.204 0.311 0.517
0.229 0.046 0.914
0.230 0.649 0.476
0.246 0.361 0.046
0.311 0.517 0.204
0.361 0.046 0.246
0.385 0.603 0.745
0.476 0.230 0.649
0.498 0.803 0.102
0.517 0.204 0.311
0.566 0.902 0.624
0.603 0.745 0.385
0.624 0.566 0.902
0.649 0.476 0.230
0.722 0.961 0.063
0.745 0.385 0.603
0.803 0.102 0.498
0.902 0.624 0.566
0.914 0.229 0.046
0.961 0.063 0.722
```

Values from the calculation:
- Total moment: 5.91 μB per formula unit
- Electronic total energy: -7.970 eV per atom
- E_form (uncorrected): -1.972 eV per atom


Material: TiMnCrP3O12
Method: DFT, PBEsol
State: optimized geometry

The structure in POSCAR format:
```
TiMnCrP3O12
1.0
4.262 2.460 6.932
-4.262 2.460 6.932
0.000 -4.921 6.932
Ti Mn Cr P O
2 2 2 6 24
Direct
0.000 0.000 0.000
0.500 0.500 0.500
0.355 0.355 0.355
0.855 0.855 0.855
0.214 0.214 0.214
0.714 0.714 0.714
0.106 0.817 0.399
0.317 0.606 0.899
0.399 0.106 0.817
0.606 0.899 0.317
0.817 0.399 0.106
0.899 0.317 0.606
0.043 0.859 0.236
0.096 0.297 0.442
0.119 0.770 0.912
0.169 0.974 0.360
0.236 0.043 0.859
0.270 0.619 0.412
0.297 0.442 0.096
0.359 0.543 0.736
0.360 0.169 0.974
0.412 0.270 0.619
0.442 0.096 0.297
0.474 0.669 0.860
0.543 0.736 0.359
0.596 0.942 0.797
0.619 0.412 0.270
0.669 0.860 0.474
0.736 0.359 0.543
0.770 0.912 0.119
0.797 0.596 0.942
0.859 0.236 0.043
0.860 0.474 0.669
0.912 0.119 0.770
0.942 0.797 0.596
0.974 0.360 0.169
```

Values from the calculation:
- Total moment: 8.00 μB per formula unit
- Electronic total energy: -8.292 eV per atom
- E_form (uncorrected): -2.253 eV per atom


Material: MnV3Cr2P6O24
Method: DFT, PBEsol
State: optimized geometry

The structure in POSCAR format:
```
MnV3Cr2P6O24
1.0
4.260 2.460 6.745
-4.260 2.460 6.745
0.000 -4.919 6.745
Mn V Cr P O
1 3 2 6 24
Direct
0.000 0.000 0.000
0.213 0.213 0.213
0.499 0.499 0.499
0.713 0.713 0.713
0.356 0.356 0.356
0.856 0.856 0.856
0.104 0.403 0.810
0.312 0.899 0.603
0.403 0.810 0.104
0.603 0.312 0.899
0.810 0.104 0.403
0.899 0.603 0.312
0.030 0.254 0.842
0.104 0.446 0.293
0.111 0.904 0.760
0.172 0.358 0.971
0.254 0.842 0.030
0.265 0.423 0.606
0.293 0.104 0.446
0.358 0.971 0.172
0.366 0.743 0.522
0.423 0.606 0.265
0.446 0.293 0.104
0.473 0.858 0.670
0.522 0.366 0.743
0.606 0.265 0.423
0.609 0.794 0.947
0.670 0.473 0.858
0.743 0.522 0.366
0.760 0.111 0.904
0.794 0.947 0.609
0.842 0.030 0.254
0.858 0.670 0.473
0.904 0.760 0.111
0.947 0.609 0.794
0.971 0.172 0.358
```

Values from the calculation:
- Total moment: 16.00 μB per formula unit
- Electronic total energy: -8.214 eV per atom
- E_form (uncorrected): -2.106 eV per atom


Material: Mn2CrSbO6
Method: DFT, PBEsol
State: optimized geometry

The structure in POSCAR format:
```
Mn2CrSbO6
1.0
5.208 0.000 0.000
0.000 5.352 0.000
-5.168 0.000 7.569
Mn Cr Sb O
4 2 2 12
Direct
0.236 0.049 0.248
0.236 0.451 0.748
0.764 0.549 0.252
0.764 0.951 0.752
0.000 0.000 0.500
0.000 0.500 0.000
0.500 0.000 0.000
0.500 0.500 0.500
0.119 0.190 0.936
0.119 0.310 0.436
0.245 0.688 0.932
0.245 0.812 0.432
0.372 0.060 0.749
0.372 0.440 0.249
0.628 0.560 0.751
0.628 0.940 0.251
0.755 0.188 0.568
0.755 0.312 0.068
0.881 0.690 0.564
0.881 0.810 0.064
```

Values from the calculation:
- Total moment: 13.00 μB per formula unit
- Electronic total energy: -8.037 eV per atom
- E_form (uncorrected): -1.455 eV per atom


Material: Mn3Cr2Si3O12
Method: DFT, PBEsol
State: optimized geometry

The structure in POSCAR format:
```
Mn3Cr2Si3O12
1.0
-5.867 5.867 5.867
5.867 -5.867 5.867
5.867 5.867 -5.867
Mn Cr Si O
12 8 12 48
Direct
0.125 0.250 0.375
0.125 0.375 0.750
0.250 0.375 0.125
0.250 0.875 0.625
0.375 0.125 0.250
0.375 0.750 0.125
0.625 0.250 0.875
0.625 0.875 0.750
0.750 0.125 0.375
0.750 0.625 0.875
0.875 0.625 0.250
0.875 0.750 0.625
0.000 0.000 0.000
0.000 0.000 0.500
0.000 0.500 0.000
0.000 0.500 0.500
0.500 0.000 0.000
0.500 0.000 0.500
0.500 0.500 0.000
0.500 0.500 0.500
0.125 0.750 0.875
0.125 0.875 0.250
0.250 0.125 0.875
0.250 0.625 0.375
0.375 0.250 0.625
0.375 0.625 0.750
0.625 0.375 0.250
0.625 0.750 0.375
0.750 0.375 0.625
0.750 0.875 0.125
0.875 0.125 0.750
0.875 0.250 0.125
0.017 0.207 0.120
0.017 0.310 0.897
0.087 0.707 0.690
0.087 0.880 0.397
0.103 0.620 0.413
0.103 0.983 0.690
0.120 0.017 0.207
0.120 0.603 0.913
0.190 0.207 0.587
0.190 0.483 0.603
0.207 0.120 0.017
0.207 0.587 0.190
0.293 0.310 0.913
0.293 0.483 0.380
0.310 0.897 0.017
0.310 0.913 0.293
0.380 0.293 0.483
0.380 0.587 0.897
0.397 0.087 0.880
0.397 0.810 0.517
0.413 0.103 0.620
0.413 0.810 0.793
0.483 0.380 0.293
0.483 0.603 0.190
0.517 0.397 0.810
0.517 0.620 0.707
0.587 0.190 0.207
0.587 0.897 0.380
0.603 0.190 0.483
0.603 0.913 0.120
0.620 0.413 0.103
0.620 0.707 0.517
0.690 0.087 0.707
0.690 0.103 0.983
0.707 0.517 0.620
0.707 0.690 0.087
0.793 0.413 0.810
0.793 0.880 0.983
0.810 0.517 0.397
0.810 0.793 0.413
0.880 0.397 0.087
0.880 0.983 0.793
0.897 0.017 0.310
0.897 0.380 0.587
0.913 0.120 0.603
0.913 0.293 0.310
0.983 0.690 0.103
0.983 0.793 0.880
```

Values from the calculation:
- Total moment: 21.00 μB per formula unit
- Electronic total energy: -8.589 eV per atom
- E_form (uncorrected): -2.089 eV per atom


Material: Ti3Mn3Cr2O16
Method: DFT, PBEsol
State: optimized geometry

The structure in POSCAR format:
```
Ti3Mn3Cr2O16
1.0
4.967 -2.884 0.000
4.967 2.884 0.000
-0.116 0.000 8.723
Ti Mn Cr O
3 3 2 16
Direct
0.000 0.000 0.000
0.331 0.830 0.502
0.830 0.331 0.502
0.332 0.332 0.498
0.501 0.991 0.999
0.991 0.501 0.999
0.487 0.487 0.779
0.826 0.826 0.276
0.112 0.678 0.132
0.167 0.167 0.609
0.168 0.168 0.107
0.205 0.629 0.631
0.332 0.332 0.894
0.332 0.818 0.891
0.491 0.491 0.386
0.505 0.990 0.390
0.629 0.205 0.631
0.635 0.635 0.638
0.678 0.112 0.132
0.682 0.682 0.124
0.818 0.332 0.891
0.822 0.822 0.888
0.987 0.987 0.394
0.990 0.505 0.390
```

Values from the calculation:
- Total moment: 13.00 μB per formula unit
- Electronic total energy: -8.744 eV per atom
- E_form (uncorrected): -2.130 eV per atom